A geometry-optimized ReTcPb2 structure, computed with PBE.

Results
Energy relative to the elements, meV per atom: 1020
ΔE to the lowest computed polymorph, meV per atom: 694.6
N(E_F), states/eV/cell: 6.48
VASP energy, eV per atom: -6.538
Space-group type: Fm-3m (225)
Magnetization, μB/f.u.: 1.4

```
data_ReTcPb2
_symmetry_space_group_name_H-M 'P 1'
_symmetry_Int_Tables_number 1
_cell_length_a 4.7645
_cell_length_b 4.7645
_cell_length_c 4.7645
_cell_angle_alpha 60.00
_cell_angle_beta 60.00
_cell_angle_gamma 60.00
loop_
_symmetry_equiv_pos_as_xyz
'x,y,z'
loop_
_atom_site_label
_atom_site_fract_x
_atom_site_fract_y
_atom_site_fract_z
_atom_site_occupancy
Pb1 0.2500 0.2500 0.2500 1
Pb2 0.7500 0.7500 0.7500 1
Re1 0.5000 0.5000 0.5000 1
Tc1 0.0000 0.0000 0.0000 1
```